AgRh2Se: relaxed, PBE.

## Properties
Space-group type: No. 99
ΔE_f (raw), meV/atom: 151

abc: 2.9793 2.9793 7.5684
angles: 90.00 90.00 90.01
Element x y z (fractional)
Rh  0.5000  0.5000  0.2587
Se  0.0000  0.0000  0.4473
Rh  0.0000  0.0000  0.0225
Ag  0.5000  0.5000  0.7715